! Li15Pt | Alexandria via LeMat-Bulk | GGA-PBE | optimized geometry; values from VASP
&SYSTEM
  ibrav = 0, nat = 16, ntyp = 2
/
ATOMIC_SPECIES
Li 6.94 Li.upf
Pt 195.08 Pt.upf
CELL_PARAMETERS angstrom
5.9102 0.0000 0.0000
-2.9551 5.1184 0.0000
0.0000 0.0000 9.4958
ATOMIC_POSITIONS crystal
Li 0.0000 0.0000 0.5000
Li 0.0066 0.5033 0.0000
Li 0.9915 0.4957 0.5000
Li 0.4967 0.9934 0.0000
Li 0.5043 0.0085 0.5000
Li 0.4967 0.5033 0.0000
Li 0.5043 0.4957 0.5000
Li 0.8425 0.1575 0.2288
Li 0.8425 0.1575 0.7712
Li 0.8425 0.6849 0.2288
Li 0.8425 0.6849 0.7712
Li 0.3151 0.1575 0.2288
Li 0.3151 0.1575 0.7712
Li 0.3333 0.6667 0.2612
Li 0.3333 0.6667 0.7388
Pt 0.0000 0.0000 0.0000
! - total moment (Bohr magnetons per cell) = 0.000
! - crystal system = hexagonal
! - raw total energy (eV per atom) = -2.25
! - symmetry = No. 187